## Re2HgW (meta-GGA SCAN)

Data for Re2HgW at its PBEsol-relaxed geometry.

Cell and atoms, written as POSCAR:
```
Re2HgW
1.0
1.4055 0.8115 9.4072
-1.4055 0.8115 9.4072
0.0000 -1.6229 9.4072
Re Hg W
2 1 1
direct
0.0000 0.0000 0.0000
0.2593 0.2593 0.2593
0.5035 0.5035 0.5035
0.7471 0.7471 0.7471
```

- raw total energy (eV per atom) = -69.582
- symmetry = R3m
- ΔE_f (meV per atom) = 430

## MgZnP2 (meta-GGA SCAN)

Data for MgZnP2 at its PBEsol-relaxed geometry.

Cell and atoms, written as POSCAR:
```
MgZnP2
1.0
4.1614 0.0000 0.0000
0.0000 4.1614 0.0000
0.0000 0.0000 3.6076
Mg Zn P
1 1 2
direct
0.0000 0.0000 0.0000
0.5000 0.5000 0.0000
0.0000 0.5000 0.5000
0.5000 0.0000 0.5000
```

- raw total energy (eV per atom) = -9.711
- symmetry = P4/mmm
- excess energy over the best structure of this formula in the dataset (eV/f.u.) = 0.00
- ΔE_f (meV per atom) = 110

> Among the records above, which one has the lowest raw total energy?

Re2HgW